1.
DFT (PBE) results for a relaxed TiCd2SnAu crystal.

**Total moment**: 0.0 μB per formula unit
**E_tot**: -2.46 eV per atom
**Space-group type**: P4/mmm (123)
**Energy of formation**: 941 meV/atom

Cell: 5.3147 5.1301 5.3147 Å, 90.00 90.00 90.00°
With the nearest neighbours (Å) after each atom.
Fractional coordinates of all 5 atoms:
Ti1 0.5000 0.5000 0.5000  8 Cd 3.69, 4 Au 3.76
Sn1 0.0000 0.0000 0.0000  2 Au 2.57, 4 Cd 2.66
Cd1 0.5000 0.0000 0.0000  2 Sn 2.66
Cd2 0.0000 0.0000 0.5000  2 Sn 2.66
Au1 0.0000 0.5000 0.0000  2 Sn 2.57

2.
DFT (PBE) results for a relaxed Fe2Co2Ni crystal.

**Energy above the lowest structure with this stoichiometry**: 0 meV per atom
**Total moment**: 9.1 μB per formula unit
**E_tot**: -7.39 eV per atom
**Space-group type**: C2/m (12)
**Energy of formation**: -4 meV/atom

Cell: 3.5157 5.0482 7.6109 Å, 119.97 103.35 90.00°
With the nearest neighbours (Å) after each atom.
Fractional coordinates of all 10 atoms:
Co1 0.7980 0.4471 0.5960  6 Co 2.48-2.52, 5 Fe 2.49-2.51, 1 Ni 2.57
Co2 0.7980 0.9471 0.5960  6 Co 2.48-2.52, 5 Fe 2.49-2.51, 1 Ni 2.57
Co3 0.2020 0.0529 0.4040  6 Co 2.48-2.52, 5 Fe 2.49-2.51, 1 Ni 2.57
Co4 0.2020 0.5529 0.4040  6 Co 2.48-2.52, 5 Fe 2.49-2.51, 1 Ni 2.57
Fe1 0.3982 0.8471 0.7965  5 Co 2.49-2.51, 4 Ni 2.52, 3 Fe 2.52-2.59
Fe2 0.6018 0.6529 0.2035  5 Co 2.49-2.51, 4 Ni 2.52, 3 Fe 2.52-2.59
Fe3 0.3982 0.3471 0.7965  5 Co 2.49-2.51, 4 Ni 2.52, 3 Fe 2.52-2.59
Fe4 0.6018 0.1529 0.2035  5 Co 2.49-2.51, 4 Ni 2.52, 3 Fe 2.52-2.59
Ni1 0.0000 0.7500 0.0000  8 Fe 2.52, 2 Ni 2.52, 2 Co 2.57
Ni2 0.0000 0.2500 0.0000  8 Fe 2.52, 2 Ni 2.52, 2 Co 2.57

3.
DFT (PBE) results for a relaxed ZrPt3F crystal.

**Energy above the lowest structure with this stoichiometry**: 758 meV per atom
**Energy relative to the elements, uncorrected**: 0.811 eV/atom
**Total moment**: 0.0 μB per formula unit
**E_tot**: -4.90 eV per atom
**Space-group type**: Pm-3m (221)

Cell: 4.9965 4.9965 4.9965 Å, 90.00 90.00 90.00°
With the nearest neighbours (Å) after each atom.
Fractional coordinates of all 5 atoms:
Pt1 0.0000 0.5000 0.0000  2 Zr 2.50
Pt2 0.5000 0.0000 0.0000  2 Zr 2.50
Pt3 0.0000 0.0000 0.5000  2 Zr 2.50
Zr1 0.0000 0.0000 0.0000  6 Pt 2.50
F1 0.5000 0.5000 0.5000  12 Pt 3.53

4.
DFT (PBE) results for a relaxed KMn crystal.

**Energy above the lowest structure with this stoichiometry**: 411 meV per atom
**Total moment**: 4.1 μB per formula unit
**E_tot**: -3.98 eV per atom
**Space-group type**: P6_3/mmc (194)
**Energy of formation**: 1156 meV/atom

Cell: 3.3055 3.3055 12.3086 Å, 90.00 90.00 120.00°
With the nearest neighbours (Å) after each atom.
Fractional coordinates of all 4 atoms:
K1 0.0000 0.0000 0.0000  6 K 3.31, 6 Mn 3.62
K2 0.0000 0.0000 0.5000  6 K 3.31, 6 Mn 3.62
Mn1 0.6667 0.3333 0.7500  6 Mn 3.31, 6 K 3.62
Mn2 0.3333 0.6667 0.2500  6 Mn 3.31, 6 K 3.62

5.
DFT (PBE) results for a relaxed CsRbCdF4 crystal.

**Energy relative to the elements, uncorrected**: -2.529 eV/atom
**Total moment**: 0.0 μB per formula unit
**E_tot**: -3.99 eV per atom
**Space-group type**: I4mm (107)

Cell: 4.5411 4.5411 7.9270 Å, 106.64 106.64 90.00°
With the nearest neighbours (Å) after each atom.
Fractional coordinates of all 7 atoms:
F1 0.4960 0.9960 0.9920  2 Cd 2.27
F2 0.8461 0.8461 0.6922  1 Cd 2.23
F3 0.1562 0.1562 0.3124  1 Cd 2.26
F4 0.9960 0.4960 0.9920  2 Cd 2.27
Rb1 0.3570 0.3570 0.7139  9 F 2.91-3.21
Cs1 0.6485 0.6485 0.2970  5 F 2.86-3.17
Cd1 0.0003 0.0003 0.0005  6 F 2.23-2.27

6.
DFT (PBE) results for a relaxed PmHf2Zr3N6 crystal.

**Energy relative to the elements, uncorrected**: -1.645 eV/atom
**Total moment**: 0.0 μB per formula unit
**E_tot**: -10.00 eV per atom
**Space-group type**: C2/m (12)

Cell: 3.2733 6.6581 7.3620 Å, 102.63 102.84 90.00°
With the nearest neighbours (Å) after each atom.
Fractional coordinates of all 12 atoms:
N1 0.3305 0.4245 0.6610  3 Hf 2.28, 3 Zr 2.37-2.38
N2 0.3253 0.9009 0.6506  3 Zr 2.23-2.40, 2 Hf 2.29, 1 Pm 2.45
N3 0.6747 0.0991 0.3494  3 Zr 2.23-2.40, 2 Hf 2.29, 1 Pm 2.45
N4 0.9937 0.7267 0.9874  3 Zr 2.24-2.42, 1 Hf 2.26, 2 Pm 2.43
N5 0.0063 0.2733 0.0126  3 Zr 2.24-2.42, 1 Hf 2.26, 2 Pm 2.43
N6 0.6695 0.5755 0.3390  3 Hf 2.28, 3 Zr 2.37-2.38
Zr1 0.5000 0.5000 0.0000  6 N 2.24-2.37
Zr2 0.8340 0.1674 0.6680  6 N 2.23-2.42
Zr3 0.1660 0.8326 0.3320  6 N 2.23-2.42
Hf1 0.1677 0.3353 0.3354  6 N 2.26-2.29
Hf2 0.8323 0.6647 0.6646  6 N 2.26-2.29
Pm1 0.5000 0.0000 0.0000  6 N 2.43-2.45

7.
DFT (PBE) results for a relaxed LiMgNbTc crystal.

**Energy above the lowest structure with this stoichiometry**: 30 meV per atom
**Total moment**: 0.0 μB per formula unit
**E_tot**: -5.86 eV per atom
**Space-group type**: Imm2 (44)
**Energy of formation**: 125 meV/atom

Cell: 3.3057 4.0949 9.6584 Å, 90.00 90.00 90.00°
With the nearest neighbours (Å) after each atom.
Fractional coordinates of all 8 atoms:
Li1 0.5000 0.0000 0.4324  4 Mg 2.64, 2 Tc 2.81
Li2 0.0000 0.5000 0.9324  4 Mg 2.64, 2 Tc 2.81
Mg1 0.0000 0.5000 0.4146  4 Li 2.64, 2 Tc 2.91
Mg2 0.5000 0.0000 0.9146  4 Li 2.64, 2 Tc 2.91
Nb1 0.5000 0.5000 0.6774  4 Tc 2.63
Nb2 0.0000 0.0000 0.1774  4 Tc 2.63
Tc1 0.5000 0.5000 0.1671  4 Nb 2.63, 2 Li 2.81, 2 Mg 2.91
Tc2 0.0000 0.0000 0.6671  4 Nb 2.63, 2 Li 2.81, 2 Mg 2.91

8.
DFT (PBE) results for a relaxed NaIn2Ir crystal.

**Total moment**: 0.0 μB per formula unit
**E_tot**: -3.95 eV per atom
**Space-group type**: R3m (160)
**Energy of formation**: -34 meV/atom

Cell: 4.4529 4.4529 6.2869 Å, 69.26 69.26 60.00°
With the nearest neighbours (Å) after each atom.
Fractional coordinates of all 4 atoms:
In1 0.0559 0.0559 0.8324  3 Ir 2.71
In2 0.2788 0.2788 0.1636  3 Ir 2.77
Na1 0.4934 0.4934 0.5199  1 Ir 3.07, 6 In 3.13-3.28
Ir1 0.6720 0.6720 0.9841  6 In 2.71-2.77